CaGeAu3 | PBE | optimized geometry

Cell lengths 5.0153, 6.4092, 6.5419 Å; angles 90.00, 90.02, 85.02 degrees
With the nearest neighbours (Å) after each atom.
Sites, in units of the cell vectors:
Ca: 0.4838 0.3958 0.7033  9 Au 3.03-3.33, 2 Ge 3.35
Ca: 0.9672 0.9569 0.2033  9 Au 3.03-3.33, 2 Ge 3.34-3.35
Ge: 0.9453 0.7424 0.6776  4 Au 2.54-2.80
Ge: 0.5071 0.6103 0.1780  4 Au 2.54-2.80
Au: 0.4355 0.2251 0.2249  1 Ge 2.54, 1 Au 2.83
Au: 0.5001 0.9228 0.9092  2 Ge 2.66-2.86, 3 Au 2.80-2.92
Au: 0.9504 0.4295 0.4091  2 Ge 2.66-2.85, 3 Au 2.80-2.92
Au: 0.0152 0.1278 0.7251  1 Ge 2.54, 1 Au 2.83
Au: 0.9988 0.4955 0.9885  2 Ge 2.58-2.80, 1 Au 2.80
Au: 0.4528 0.8576 0.4886  2 Ge 2.58-2.80, 1 Au 2.80

Output
Energy above the most stable polymorph in this dataset ... 0.003 eV per atom
Formation energy from the elements ... -0.439 eV per atom